This record from the Alexandria database describes a relaxed structure of HoTm2WO8. The functional is GGA+U.

Cell: 4.996 4.997 6.749 Å, 89.99 90.01 90.76°
Last column: magnetic moment on the atom in μB.
Fractional positions:
O 0.279 0.279 0.000  0.08
O 0.721 0.721 0.000  0.08
Tm 0.500 0.500 0.249  0.00
O 0.310 0.309 0.500  0.08
O 0.185 0.815 0.786  0.04
W 0.000 0.000 0.000  -0.03
O 0.185 0.815 0.214  0.04
O 0.815 0.185 0.786  0.04
O 0.815 0.185 0.214  0.04
Ho 0.000 0.000 0.500  0.02
O 0.690 0.691 0.500  0.08
Tm 0.500 0.500 0.751  0.00

Computed properties:
- Uncorrected energy: -7.925 eV/atom
- Fermi-level density of states: 7.83 states/eV/cell
- Crystal system: orthorhombic
- SG: Cmmm (65)